(1)
# GGA-PBE LaThN, optimized geometry
data_LaThN
_cell_length_a 3.7108
_cell_length_b 3.7108
_cell_length_c 6.3419
_cell_angle_alpha 90.00
_cell_angle_beta 90.00
_cell_angle_gamma 120.00
_symmetry_space_group_name_H-M 'P 3 m 1'
_symmetry_Int_Tables_number 156
_symmetry_space_group_name_Hall 'P 3 -2"'
loop_
_atom_site_label
_atom_site_fract_x
_atom_site_fract_y
_atom_site_fract_z
La1 0.0000 0.0000 0.0000
Th1 0.6667 0.3333 0.5547
N1 0.3333 0.6667 0.7496
# energy above the lowest structure with this stoichiometry	0.33	eV/f.u.
# uncorrected formation energy	-827	meV per atom

---

(2)
# GGA-PBE SiNi2Hg, optimized geometry
data_SiNi2Hg
_cell_length_a 7.123
_cell_length_b 2.794
_cell_length_c 5.969
_cell_angle_alpha 90.00
_cell_angle_beta 99.89
_cell_angle_gamma 90.00
_symmetry_space_group_name_H-M 'C 1 2/m 1'
_symmetry_Int_Tables_number 12
_symmetry_space_group_name_Hall '-C 2y'
loop_
_atom_site_label
_atom_site_fract_x
_atom_site_fract_y
_atom_site_fract_z
Si1 0.000 0.000 0.000
Ni1 0.237 0.500 0.183
Hg1 0.000 0.500 0.500
# energy above the lowest structure with this stoichiometry	0.56	eV/f.u.
# uncorrected formation energy	-48	meV per atom

---

(3)
# GGA-PBE Rb2NaTl9, optimized geometry
data_Rb2NaTl9
_cell_length_a 6.6949
_cell_length_b 6.6949
_cell_length_c 32.9626
_cell_angle_alpha 90.00
_cell_angle_beta 90.00
_cell_angle_gamma 120.00
_symmetry_space_group_name_H-M 'R -3 m'
_symmetry_Int_Tables_number 166
_symmetry_space_group_name_Hall '-R 3 2"'
loop_
_atom_site_label
_atom_site_fract_x
_atom_site_fract_y
_atom_site_fract_z
Rb1 0.0000 0.0000 0.1418
Na1 0.0000 0.0000 0.0000
Tl1 0.0000 0.0000 0.3342
Tl2 0.0000 0.0000 0.5000
Tl3 0.0027 0.5013 0.9182
# total energy	-74.6	eV/cell

---

(4)
# GGA-PBE Os2RuPb, optimized geometry
data_Os2RuPb
_cell_length_a 2.868
_cell_length_b 4.262
_cell_length_c 11.733
_cell_angle_alpha 90.00
_cell_angle_beta 90.00
_cell_angle_gamma 90.00
_symmetry_space_group_name_H-M 'I m m 2'
_symmetry_Int_Tables_number 44
_symmetry_space_group_name_Hall 'I 2 -2'
loop_
_atom_site_label
_atom_site_fract_x
_atom_site_fract_y
_atom_site_fract_z
Os1 0.000 0.000 0.000
Os2 0.000 0.500 0.323
Ru1 0.000 0.500 0.754
Pb1 0.000 0.000 0.589
# total energy	-63.9	eV/cell

---

(5)
# GGA-PBE Ti3FeRh, optimized geometry
data_Ti3FeRh
_cell_length_a 6.064
_cell_length_b 6.064
_cell_length_c 6.064
_cell_angle_alpha 90.00
_cell_angle_beta 90.00
_cell_angle_gamma 90.00
_symmetry_space_group_name_H-M 'P m -3 m'
_symmetry_Int_Tables_number 221
_symmetry_space_group_name_Hall '-P 4 2 3'
loop_
_atom_site_label
_atom_site_fract_x
_atom_site_fract_y
_atom_site_fract_z
Ti1 0.000 0.000 0.000
Ti2 0.262 0.262 0.262
Fe1 0.000 0.500 0.500
Rh1 0.000 0.000 0.500
# energy above the lowest structure with this stoichiometry	0.00	eV/f.u.

---

(6)
# GGA-PBE ThUTcOs, optimized geometry
data_ThUTcOs
_cell_length_a 4.4210
_cell_length_b 4.4210
_cell_length_c 15.8187
_cell_angle_alpha 90.00
_cell_angle_beta 90.00
_cell_angle_gamma 120.00
_symmetry_space_group_name_H-M 'R 3 m'
_symmetry_Int_Tables_number 160
_symmetry_space_group_name_Hall 'R 3 -2"'
loop_
_atom_site_label
_atom_site_fract_x
_atom_site_fract_y
_atom_site_fract_z
Th1 0.0000 0.0000 0.0000
U1 0.0000 0.0000 0.4985
Tc1 0.0000 0.0000 0.7938
Os1 0.0000 0.0000 0.2185
# energy above the lowest structure with this stoichiometry	0.00	eV/f.u.

---

(7)
# GGA-PBE MgCo2Cu, optimized geometry
data_MgCo2Cu
_cell_length_a 2.847
_cell_length_b 2.847
_cell_length_c 6.462
_cell_angle_alpha 90.00
_cell_angle_beta 90.00
_cell_angle_gamma 90.00
_symmetry_space_group_name_H-M 'P 4 m m'
_symmetry_Int_Tables_number 99
_symmetry_space_group_name_Hall 'P 4 -2'
loop_
_atom_site_label
_atom_site_fract_x
_atom_site_fract_y
_atom_site_fract_z
Mg1 0.000 0.000 0.000
Co1 0.000 0.000 0.476
Co2 0.500 0.500 0.284
Cu1 0.500 0.500 0.714
# total energy	-19.6	eV/cell

---

(8)
# GGA-PBE Li8Ga2Sb, optimized geometry
data_Li8Ga2Sb
_cell_length_a 15.108
_cell_length_b 4.478
_cell_length_c 5.330
_cell_angle_alpha 90.00
_cell_angle_beta 90.53
_cell_angle_gamma 90.00
_symmetry_space_group_name_H-M 'C 1 2/m 1'
_symmetry_Int_Tables_number 12
_symmetry_space_group_name_Hall '-C 2y'
loop_
_atom_site_label
_atom_site_fract_x
_atom_site_fract_y
_atom_site_fract_z
Li1 0.048 0.000 0.236
Li2 0.100 0.500 0.961
Li3 0.135 0.000 0.665
Li4 0.191 0.500 0.400
Ga1 0.220 0.000 0.114
Sb1 0.000 0.500 0.500
# uncorrected formation energy	-376	meV per atom

---

(9)
# GGA-PBE Be2TcPt, optimized geometry
data_Be2TcPt
_cell_length_a 2.681
_cell_length_b 3.537
_cell_length_c 5.081
_cell_angle_alpha 90.00
_cell_angle_beta 90.21
_cell_angle_gamma 90.00
_symmetry_space_group_name_H-M 'P 1 2/m 1'
_symmetry_Int_Tables_number 10
_symmetry_space_group_name_Hall '-P 2y'
loop_
_atom_site_label
_atom_site_fract_x
_atom_site_fract_y
_atom_site_fract_z
Be1 0.006 0.000 0.213
Tc1 0.500 0.500 0.000
Pt1 0.000 0.500 0.500
# energy above the lowest structure with this stoichiometry	0.44	eV/f.u.

---

(10)
# GGA-PBE ZnAgCl2, optimized geometry
data_ZnAgCl2
_cell_length_a 7.521
_cell_length_b 7.472
_cell_length_c 4.178
_cell_angle_alpha 90.00
_cell_angle_beta 123.37
_cell_angle_gamma 90.00
_symmetry_space_group_name_H-M 'C 1 2/m 1'
_symmetry_Int_Tables_number 12
_symmetry_space_group_name_Hall '-C 2y'
loop_
_atom_site_label
_atom_site_fract_x
_atom_site_fract_y
_atom_site_fract_z
Zn1 0.000 0.000 0.000
Ag1 0.000 0.500 0.000
Cl1 0.250 0.250 0.500
# energy above the lowest structure with this stoichiometry	0.88	eV/f.u.
# uncorrected formation energy	-292	meV per atom

---

(11)
# GGA-PBE Ca2LaTiN, optimized geometry
data_Ca2LaTiN
_cell_length_a 6.528
_cell_length_b 6.528
_cell_length_c 4.116
_cell_angle_alpha 90.00
_cell_angle_beta 90.00
_cell_angle_gamma 90.00
_symmetry_space_group_name_H-M 'P 4/m m m'
_symmetry_Int_Tables_number 123
_symmetry_space_group_name_Hall '-P 4 2'
loop_
_atom_site_label
_atom_site_fract_x
_atom_site_fract_y
_atom_site_fract_z
Ca1 0.000 0.500 0.000
La1 0.000 0.000 0.000
Ti1 0.500 0.500 0.500
N1 0.000 0.000 0.500
# uncorrected formation energy	869	meV per atom

---

(12)
# GGA-PBE CePmSm2Er, optimized geometry
data_CePmSm2Er
_cell_length_a 8.257
_cell_length_b 6.687
_cell_length_c 6.010
_cell_angle_alpha 90.00
_cell_angle_beta 90.61
_cell_angle_gamma 90.00
_symmetry_space_group_name_H-M 'P 1 2/c 1'
_symmetry_Int_Tables_number 13
_symmetry_space_group_name_Hall '-P 2yc'
loop_
_atom_site_label
_atom_site_fract_x
_atom_site_fract_y
_atom_site_fract_z
Ce1 0.000 0.000 0.000
Pm1 0.000 0.423 0.250
Sm1 0.305 0.305 0.747
Er1 0.500 0.164 0.250
# total energy	-46.5	eV/cell

---

Number 1: V 75.63 Å³/cell. Number 2: V 117.03 Å³/cell. Number 3: V 1279.52 Å³/cell. Number 4: V 143.42 Å³/cell. Number 5: V 222.99 Å³/cell. Number 6: V 267.78 Å³/cell. Number 7: V 52.38 Å³/cell. Number 8: V 360.60 Å³/cell. Number 9: V 48.17 Å³/cell. Number 10: V 196.10 Å³/cell. Number 11: V 175.42 Å³/cell. Number 12: V 331.85 Å³/cell.